## NaCdSnAu (PBE)

Data for a geometry-optimized NaCdSnAu structure.

Calculated values
Space-group type: F-43m, No. 216

abc: 5.0255 5.0255 5.0255
angles: 60.00 60.00 60.00
Fractional coordinates of all 4 atoms:
Na 0.0000 0.0000 0.0000
Cd 0.2500 0.2500 0.2500
Sn 0.5000 0.5000 0.5000
Au 0.7500 0.7500 0.7500

## NaCd2SnAu4 (PBE)

Data for a geometry-optimized NaCd2SnAu4 structure.

Calculated values
Space-group type: R-3m, No. 166

abc: 8.5195 8.5195 8.5195
angles: 33.03 33.03 33.03
Fractional coordinates of all 8 atoms:
Na 0.0000 0.0000 0.0000
Cd 0.2567 0.2567 0.2567
Cd 0.7433 0.7433 0.7433
Sn 0.5000 0.5000 0.5000
Au 0.1254 0.1254 0.1254
Au 0.3770 0.3770 0.3770
Au 0.6230 0.6230 0.6230
Au 0.8746 0.8746 0.8746

Energy of formation (kcal/mol of atoms)
-3.90, -3.93